No. 1
PmPrBi: relaxed, PBE-GGA.

Unit cell a=4.239 b=4.239 c=6.052 alpha=110.50 beta=110.50 gamma=90.00
Atoms (fractional coordinates):
Pr (0.960, 0.960, 0.921)
Pm (0.271, 0.271, 0.542)
Bi (0.619, 0.619, 0.237)

Computed properties:
As for the space group: I4mm. The calculation puts the calculated density at 8.7 g/cm³. The value obtained for the formation enthalpy at 0 K is -0.531 eV per atom. The calculation puts the energy above the lowest structure with this stoichiometry at 0.148 eV/atom. The calculation puts the energy at -15.00 eV/cell.

No. 2
Pm3PrBi: relaxed, PBE-GGA.

Unit cell a=4.077 b=11.183 c=15.046 alpha=90.00 beta=90.00 gamma=90.00
Atoms (fractional coordinates):
Pr (0.750, 0.840, 0.001)
Pr (0.250, 0.660, 0.501)
Pr (0.250, 0.160, 0.999)
Pr (0.750, 0.340, 0.499)
Bi (0.250, 0.661, 0.879)
Bi (0.750, 0.339, 0.121)
Bi (0.750, 0.839, 0.379)
Bi (0.250, 0.161, 0.621)
Pm (0.750, 0.687, 0.709)
Pm (0.250, 0.813, 0.209)
Pm (0.750, 0.566, 0.293)
Pm (0.750, 0.187, 0.791)
Pm (0.250, 0.434, 0.707)
Pm (0.750, 0.437, 0.914)
Pm (0.250, 0.934, 0.793)
Pm (0.750, 0.937, 0.586)
Pm (0.250, 0.063, 0.414)
Pm (0.250, 0.563, 0.086)
Pm (0.750, 0.066, 0.207)
Pm (0.250, 0.313, 0.291)

Computed properties:
As for the space group: Pnma. The calculation puts the calculated density at 7.6 g/cm³. The value obtained for the formation enthalpy at 0 K is -0.271 eV per atom. The calculation puts the energy at -97.08 eV/cell.

No. 3
Pm3PrBi3: relaxed, PBE-GGA.

Unit cell a=5.970 b=9.422 c=9.422 alpha=120.00 beta=90.00 gamma=90.00
Last column: magnetic moment on the atom in μB.
Atoms (fractional coordinates):
Pm (0.250, 0.247, 0.012)  0.05
Pm (0.750, 0.012, 0.765)  0.05
Pm (0.750, 0.235, 0.247)  0.05
Pm (0.250, 0.988, 0.235)  0.05
Pm (0.250, 0.765, 0.753)  0.05
Pm (0.750, 0.753, 0.988)  0.05
Bi (0.250, 0.564, 0.937)  -0.01
Bi (0.250, 0.372, 0.436)  -0.01
Bi (0.250, 0.063, 0.628)  -0.01
Bi (0.750, 0.436, 0.063)  -0.01
Bi (0.750, 0.937, 0.372)  -0.01
Bi (0.750, 0.628, 0.564)  -0.01
Pr (0.250, 0.667, 0.333)  0.07
Pr (0.750, 0.333, 0.667)  0.07

Computed properties:
As for the space group: P6_3/m. The calculation puts the calculated density at 8.7 g/cm³. The value obtained for the formation enthalpy at 0 K is -0.628 eV per atom. The calculation puts the energy above the lowest structure with this stoichiometry at 0.200 eV/atom. The calculation puts the energy at -70.14 eV/cell.